A:
Density functional theory data (PBE) for a relaxed K2Na2Bi crystal.

Cell and atoms, written as POSCAR:
```
K2Na2Bi
1.0
-5.208 5.712 -0.813
0.556 -3.886 6.287
6.720 6.164 0.256
K Na Bi
4 4 2
Direct
0.755 0.324 0.632
0.245 0.676 0.368
0.569 0.324 0.132
0.431 0.676 0.868
0.790 0.803 0.529
0.013 0.803 0.029
0.987 0.197 0.971
0.210 0.197 0.471
0.218 0.000 0.750
0.782 0.000 0.250
```

space group	C2/c
volume	42.35	Å³ per atom
total moment	0.6	μB per formula unit
density	2.6	g cm⁻³

B:
Density functional theory data (PBE) for a relaxed K2Na2Bi crystal.

Cell and atoms, written as POSCAR:
```
K2Na2Bi
1.0
-7.789 -0.860 4.026
4.085 -2.687 7.329
0.342 5.578 1.854
K Bi Na
4 2 4
Direct
0.860 0.640 0.000
0.140 0.360 0.000
0.640 0.140 0.000
0.360 0.860 0.000
0.500 0.500 0.000
0.000 0.000 0.000
0.810 0.310 0.500
0.310 0.190 0.500
0.190 0.690 0.500
0.690 0.810 0.500
```

space group	P4/mbm
volume	45.70	Å³ per atom
total moment	0.9	μB per formula unit
density	2.4	g cm⁻³

C:
Density functional theory data (PBE) for a relaxed K2Na2Bi crystal.

Cell and atoms, written as POSCAR:
```
K2Na2Bi
1.0
-6.294 -4.432 -3.035
-0.988 -3.640 7.365
-3.895 4.401 1.652
K Na Bi
4 4 2
Direct
0.302 0.198 0.500
0.802 0.302 0.500
0.198 0.698 0.500
0.698 0.802 0.500
0.852 0.648 0.000
0.352 0.852 0.000
0.648 0.148 0.000
0.148 0.352 0.000
0.500 0.500 0.000
0.000 0.000 0.000
```

space group	P4/mbm
volume	41.79	Å³ per atom
total moment	0.8	μB per formula unit
density	2.6	g cm⁻³

Most stable structure among those shown: A.